The following is a DFT calculation (SCAN) of Li2CoRh at its PBEsol-relaxed geometry.

Computed properties:
offset from the most stable computed form	0.0040	eV per atom
energy of formation from the pure elements	-86	meV per atom
crystal system	orthorhombic
SG	Pmmm, No. 47
spin magnetization	2.0	μB/cell

abc: 2.6562 4.1978 4.3169
angles: 90.00 90.00 90.00
Atoms (fractional coordinates):
Rh 0.0000 0.0000 0.3754
Co 0.5000 0.5000 0.3748
Li 0.5000 0.0000 0.8755
Li 0.0000 0.5000 0.8744